(1)
An optimized crystal structure of CoBiSb2I. Source: the Alexandria database, functional PBE.

- Raw formation energy: 6.89 eV per formula unit
- Size of the total moment: 1.71 μB per formula unit
- Total DFT energy (no corrections): -0.102 hartree per atom
- V: 41.96 Å³/atom
- Space group: No. 123

Cell lengths 5.8850, 5.8850, 6.0581 Å; angles 90.00, 90.00, 90.00 degrees
Closest atoms and distances in Å follow each position.
Atoms (fractional coordinates):
Co1 0.0000 0.0000 0.0000  4 I 4.16, 8 Sb 4.22
Bi1 0.5000 0.5000 0.5000  4 Sb 2.94, 2 I 3.03
Sb1 0.0000 0.5000 0.5000  2 Bi 2.94
Sb2 0.5000 0.0000 0.5000  2 Bi 2.94
I1 0.5000 0.5000 0.0000  2 Bi 3.03

***

(2)
An optimized crystal structure of CoBiSb2I. Source: the Alexandria database, functional PBE.

- Raw formation energy: 1.85 eV per formula unit
- Size of the total moment: 0.00 μB per formula unit
- Total DFT energy (no corrections): -0.139 hartree per atom
- V: 26.80 Å³/atom
- Space group: No. 123

Cell lengths 4.9870, 4.9870, 5.3877 Å; angles 90.00, 90.00, 90.00 degrees
Closest atoms and distances in Å follow each position.
Atoms (fractional coordinates):
Co1 0.0000 0.0000 0.0000  4 Sb 2.49, 2 I 2.69
Bi1 0.5000 0.5000 0.5000  4 I 3.53, 8 Sb 3.67
Sb1 0.0000 0.5000 0.0000  2 Co 2.49
Sb2 0.5000 0.0000 0.0000  2 Co 2.49
I1 0.0000 0.0000 0.5000  2 Co 2.69

***

(3)
An optimized crystal structure of CoBiTeI2. Source: the Alexandria database, functional PBE.

- Raw formation energy: 4.23 eV per formula unit
- Size of the total moment: 2.57 μB per formula unit
- Total DFT energy (no corrections): -0.096 hartree per atom
- V: 44.97 Å³/atom
- Space group: No. 123

Cell lengths 6.0646, 6.0646, 6.1133 Å; angles 90.00, 90.00, 90.00 degrees
Closest atoms and distances in Å follow each position.
Atoms (fractional coordinates):
Co1 0.0000 0.0000 0.0000  4 Te 4.29, 8 I 4.31
Bi1 0.5000 0.5000 0.5000  4 I 3.03, 2 Te 3.06
Te1 0.5000 0.5000 0.0000  2 Bi 3.06
I1 0.0000 0.5000 0.5000  2 Bi 3.03
I2 0.5000 0.0000 0.5000  2 Bi 3.03